--- 1 ---
DFT (GGA-PBE) results for LiMn2Ni2 after structural relaxation.

DOS(E_F) in states/eV/f.u.: 6.7

Structure (CIF):
```
data_LiMn2Ni2
_chemical_formula_sum 'Li2 Mn4 Ni4'
_space_group_name_H-M_alt 'P 4/m b m'
_space_group_IT_number 127
_space_group_name_Hall '-P 4 2ab'
_cell_length_a 7.0644
_cell_length_b 7.0644
_cell_length_c 2.4147
_cell_angle_alpha 90.00
_cell_angle_beta 90.00
_cell_angle_gamma 90.00
loop_
_atom_site_label
_atom_site_fract_x
_atom_site_fract_y
_atom_site_fract_z
_atom_site_occupancy
Li1 0.0000 0.0000 0.0000 1
Mn1 0.1052 0.3948 0.0000 1
Ni1 0.1871 0.6871 0.5000 1
```


--- 2 ---
DFT (GGA-PBE) results for LiMn2Ni2 after structural relaxation.

DOS(E_F) in states/eV/f.u.: 2.9

Structure (CIF):
```
data_LiMn2Ni2
_chemical_formula_sum 'Li2 Mn4 Ni4'
_space_group_name_H-M_alt 'P 4/m b m'
_space_group_IT_number 127
_space_group_name_Hall '-P 4 2ab'
_cell_length_a 7.0320
_cell_length_b 7.0320
_cell_length_c 2.7013
_cell_angle_alpha 90.00
_cell_angle_beta 90.00
_cell_angle_gamma 90.00
loop_
_atom_site_label
_atom_site_fract_x
_atom_site_fract_y
_atom_site_fract_z
_atom_site_occupancy
Li1 0.0000 0.0000 0.0000 1
Mn1 0.1539 0.3461 0.5000 1
Ni1 0.1401 0.6401 0.0000 1
```


Verdict on stability: 1 comes out at the bottom.


--- 1 ---
DFT (GGA-PBE) results for Li2MnNi after structural relaxation.

DOS(E_F) in states/eV/f.u.: 2.0

Structure (CIF):
```
data_Li2MnNi
_chemical_formula_sum 'Li4 Mn2 Ni2'
_space_group_name_H-M_alt 'C 1 m 1'
_space_group_IT_number 8
_cell_length_a 8.9640
_cell_length_b 2.7070
_cell_length_c 4.6784
_cell_angle_alpha 90.00
_cell_angle_beta 110.72
_cell_angle_gamma 90.00
loop_
_space_group_symop_operation_xyz
'x,y,z'
'x,-y,z'
'x+1/2,y+1/2,z'
'x+1/2,-y+1/2,z'
loop_
_atom_site_label
_atom_site_fract_x
_atom_site_fract_y
_atom_site_fract_z
_atom_site_occupancy
Li1 0.0000 0.0000 0.0000 1
Li2 0.2386 0.0000 0.8674 1
Mn1 0.4672 0.0000 0.4709 1
Ni1 0.2290 0.5000 0.3859 1
```


--- 2 ---
DFT (GGA-PBE) results for Li2MnNi after structural relaxation.

DOS(E_F) in states/eV/f.u.: 2.2

Structure (CIF):
```
data_Li2MnNi
_chemical_formula_sum 'Li2 Mn1 Ni1'
_space_group_name_H-M_alt 'P 4/m m m'
_space_group_IT_number 123
_space_group_name_Hall '-P 4 2'
_cell_length_a 3.5100
_cell_length_b 3.5100
_cell_length_c 4.3292
_cell_angle_alpha 90.00
_cell_angle_beta 90.00
_cell_angle_gamma 90.00
loop_
_atom_site_label
_atom_site_fract_x
_atom_site_fract_y
_atom_site_fract_z
_atom_site_occupancy
Li1 0.0000 0.5000 0.0000 1
Mn1 0.0000 0.0000 0.5000 1
Ni1 0.5000 0.5000 0.5000 1
```


Verdict on stability: 1 comes out at the bottom.


--- 1 ---
DFT (GGA-PBE) results for Li2MnNi after structural relaxation.

DOS(E_F) in states/eV/f.u.: 2.6

Structure (CIF):
```
data_Li2MnNi
_chemical_formula_sum 'Li6 Mn3 Ni3'
_space_group_name_H-M_alt 'R 3 m'
_space_group_IT_number 160
_space_group_name_Hall 'R 3 -2"'
_cell_length_a 2.6467
_cell_length_b 2.6467
_cell_length_c 26.9506
_cell_angle_alpha 90.00
_cell_angle_beta 90.00
_cell_angle_gamma 120.00
loop_
_atom_site_label
_atom_site_fract_x
_atom_site_fract_y
_atom_site_fract_z
_atom_site_occupancy
Li1 0.0000 0.0000 0.0000 1
Li2 0.0000 0.0000 0.2361 1
Mn1 0.0000 0.0000 0.7515 1
Ni1 0.0000 0.0000 0.4924 1
```


--- 2 ---
DFT (GGA-PBE) results for Li2MnNi after structural relaxation.

DOS(E_F) in states/eV/f.u.: 1.9

Structure (CIF):
```
data_Li2MnNi
_chemical_formula_sum 'Li8 Mn4 Ni4'
_space_group_name_H-M_alt 'F -4 3 m'
_space_group_IT_number 216
_space_group_name_Hall 'F -4 2 3'
_cell_length_a 5.9298
_cell_length_b 5.9298
_cell_length_c 5.9298
_cell_angle_alpha 90.00
_cell_angle_beta 90.00
_cell_angle_gamma 90.00
loop_
_atom_site_label
_atom_site_fract_x
_atom_site_fract_y
_atom_site_fract_z
_atom_site_occupancy
Li1 0.0000 0.0000 0.0000 1
Li2 0.2500 0.2500 0.2500 1
Mn1 0.2500 0.2500 0.7500 1
Ni1 0.0000 0.0000 0.5000 1
```


--- 3 ---
DFT (GGA-PBE) results for Li2MnNi after structural relaxation.

DOS(E_F) in states/eV/f.u.: 2.7

Structure (CIF):
```
data_Li2MnNi
_chemical_formula_sum 'Li2 Mn1 Ni1'
_space_group_name_H-M_alt 'P 4 m m'
_space_group_IT_number 99
_cell_length_a 2.8573
_cell_length_b 2.8573
_cell_length_c 7.1883
_cell_angle_alpha 90.00
_cell_angle_beta 90.00
_cell_angle_gamma 90.00
loop_
_space_group_symop_operation_xyz
'x,y,z'
'-y,x,z'
'-x,-y,z'
'y,-x,z'
'-x,y,z'
'y,x,z'
'x,-y,z'
'-y,-x,z'
loop_
_atom_site_label
_atom_site_fract_x
_atom_site_fract_y
_atom_site_fract_z
_atom_site_occupancy
Li1 0.0000 0.0000 0.0000 1
Li2 0.5000 0.5000 0.3048 1
Mn1 0.0000 0.0000 0.5871 1
Ni1 0.5000 0.5000 0.7768 1
```


Verdict on stability: 1 comes out at the bottom.


--- 1 ---
DFT (GGA-PBE) results for Li2MnNi after structural relaxation.

DOS(E_F) in states/eV/f.u.: 2.1

Structure (CIF):
```
data_Li2MnNi
_chemical_formula_sum 'Li2 Mn1 Ni1'
_space_group_name_H-M_alt 'P 1 m 1'
_space_group_IT_number 6
_cell_length_a 2.7551
_cell_length_b 3.4744
_cell_length_c 5.8308
_cell_angle_alpha 90.00
_cell_angle_beta 90.12
_cell_angle_gamma 90.00
loop_
_space_group_symop_operation_xyz
'x,y,z'
'x,-y,z'
loop_
_atom_site_label
_atom_site_fract_x
_atom_site_fract_y
_atom_site_fract_z
_atom_site_occupancy
Li1 0.0000 0.0000 0.0000 1
Li2 0.4984 0.5000 0.2711 1
Mn1 0.5009 0.5000 0.7147 1
Ni1 0.0000 0.0000 0.5251 1
```


--- 2 ---
DFT (GGA-PBE) results for Li2MnNi after structural relaxation.

DOS(E_F) in states/eV/f.u.: 4.6

Structure (CIF):
```
data_Li2MnNi
_chemical_formula_sum 'Li8 Mn4 Ni4'
_space_group_name_H-M_alt 'F m -3 m'
_space_group_IT_number 225
_space_group_name_Hall '-F 4 2 3'
_cell_length_a 5.8848
_cell_length_b 5.8848
_cell_length_c 5.8848
_cell_angle_alpha 90.00
_cell_angle_beta 90.00
_cell_angle_gamma 90.00
loop_
_atom_site_label
_atom_site_fract_x
_atom_site_fract_y
_atom_site_fract_z
_atom_site_occupancy
Li1 0.2500 0.2500 0.2500 1
Mn1 0.0000 0.0000 0.0000 1
Ni1 0.0000 0.0000 0.5000 1
```


--- 3 ---
DFT (GGA-PBE) results for Li2MnNi after structural relaxation.

DOS(E_F) in states/eV/f.u.: 4.5

Structure (CIF):
```
data_Li2MnNi
_chemical_formula_sum 'Li8 Mn4 Ni4'
_space_group_name_H-M_alt 'I -4 2 d'
_space_group_IT_number 122
_space_group_name_Hall 'I -4 2bw'
_cell_length_a 6.5519
_cell_length_b 6.5519
_cell_length_c 4.5923
_cell_angle_alpha 90.00
_cell_angle_beta 90.00
_cell_angle_gamma 90.00
loop_
_atom_site_label
_atom_site_fract_x
_atom_site_fract_y
_atom_site_fract_z
_atom_site_occupancy
Li1 0.2361 0.2500 0.1250 1
Mn1 0.0000 0.0000 0.5000 1
Ni1 0.0000 0.0000 0.0000 1
```


Verdict on stability: 3 comes out at the bottom.


--- 1 ---
DFT (GGA-PBE) results for Li2MnNi after structural relaxation.

DOS(E_F) in states/eV/f.u.: 2.6

Structure (CIF):
```
data_Li2MnNi
_chemical_formula_sum 'Li2 Mn1 Ni1'
_space_group_name_H-M_alt 'P m m m'
_space_group_IT_number 47
_cell_length_a 2.5892
_cell_length_b 4.0914
_cell_length_c 4.9537
_cell_angle_alpha 90.00
_cell_angle_beta 90.00
_cell_angle_gamma 90.00
loop_
_space_group_symop_operation_xyz
'x,y,z'
'-x,-y,-z'
'-x,-y,z'
'x,y,-z'
'x,-y,-z'
'-x,y,z'
'-x,y,-z'
'x,-y,z'
loop_
_atom_site_label
_atom_site_fract_x
_atom_site_fract_y
_atom_site_fract_z
_atom_site_occupancy
Li1 0.0000 0.0000 0.2351 1
Mn1 0.5000 0.5000 0.5000 1
Ni1 0.5000 0.5000 0.0000 1
```


--- 2 ---
DFT (GGA-PBE) results for Li2MnNi after structural relaxation.

DOS(E_F) in states/eV/f.u.: 2.9

Structure (CIF):
```
data_Li2MnNi
_chemical_formula_sum 'Li2 Mn1 Ni1'
_space_group_name_H-M_alt 'P m m m'
_space_group_IT_number 47
_cell_length_a 2.7449
_cell_length_b 4.1764
_cell_length_c 4.4955
_cell_angle_alpha 90.00
_cell_angle_beta 90.00
_cell_angle_gamma 90.00
loop_
_space_group_symop_operation_xyz
'x,y,z'
'-x,-y,-z'
'-x,-y,z'
'x,y,-z'
'x,-y,-z'
'-x,y,z'
'-x,y,-z'
'x,-y,z'
loop_
_atom_site_label
_atom_site_fract_x
_atom_site_fract_y
_atom_site_fract_z
_atom_site_occupancy
Li1 0.0000 0.0000 0.0000 1
Li2 0.5000 0.5000 0.0000 1
Mn1 0.0000 0.5000 0.5000 1
Ni1 0.5000 0.0000 0.5000 1
```


--- 3 ---
DFT (GGA-PBE) results for Li2MnNi after structural relaxation.

DOS(E_F) in states/eV/f.u.: 2.3

Structure (CIF):
```
data_Li2MnNi
_chemical_formula_sum 'Li4 Mn2 Ni2'
_space_group_name_H-M_alt 'I 4/m m m'
_space_group_IT_number 139
_space_group_name_Hall '-I 4 2'
_cell_length_a 3.5169
_cell_length_b 3.5169
_cell_length_c 8.5032
_cell_angle_alpha 90.00
_cell_angle_beta 90.00
_cell_angle_gamma 90.00
loop_
_atom_site_label
_atom_site_fract_x
_atom_site_fract_y
_atom_site_fract_z
_atom_site_occupancy
Li1 0.0000 0.5000 0.2500 1
Mn1 0.0000 0.0000 0.0000 1
Ni1 0.0000 0.0000 0.5000 1
```


--- 4 ---
DFT (GGA-PBE) results for Li2MnNi after structural relaxation.

DOS(E_F) in states/eV/f.u.: 4.9

Structure (CIF):
```
data_Li2MnNi
_chemical_formula_sum 'Li6 Mn3 Ni3'
_space_group_name_H-M_alt 'R -3 m'
_space_group_IT_number 166
_space_group_name_Hall '-R 3 2"'
_cell_length_a 2.4801
_cell_length_b 2.4801
_cell_length_c 26.4828
_cell_angle_alpha 90.00
_cell_angle_beta 90.00
_cell_angle_gamma 120.00
loop_
_atom_site_label
_atom_site_fract_x
_atom_site_fract_y
_atom_site_fract_z
_atom_site_occupancy
Li1 0.0000 0.0000 0.2466 1
Mn1 0.0000 0.0000 0.0000 1
Ni1 0.0000 0.0000 0.5000 1
```


Verdict on stability: 1 comes out at the bottom.


--- 1 ---
DFT (GGA-PBE) results for Li2MnNi2 after structural relaxation.

DOS(E_F) in states/eV/f.u.: 2.4

Structure (CIF):
```
data_Li2MnNi2
_chemical_formula_sum 'Li4 Mn2 Ni4'
_space_group_name_H-M_alt 'P 4/m b m'
_space_group_IT_number 127
_space_group_name_Hall '-P 4 2ab'
_cell_length_a 6.5506
_cell_length_b 6.5506
_cell_length_c 2.7287
_cell_angle_alpha 90.00
_cell_angle_beta 90.00
_cell_angle_gamma 90.00
loop_
_atom_site_label
_atom_site_fract_x
_atom_site_fract_y
_atom_site_fract_z
_atom_site_occupancy
Li1 0.1164 0.3836 0.0000 1
Mn1 0.0000 0.0000 0.0000 1
Ni1 0.1869 0.6869 0.5000 1
```


--- 2 ---
DFT (GGA-PBE) results for Li2MnNi2 after structural relaxation.

DOS(E_F) in states/eV/f.u.: 2.8

Structure (CIF):
```
data_Li2MnNi2
_chemical_formula_sum 'Li4 Mn2 Ni4'
_space_group_name_H-M_alt 'I 4/m m m'
_space_group_IT_number 139
_space_group_name_Hall '-I 4 2'
_cell_length_a 3.1629
_cell_length_b 3.1629
_cell_length_c 12.6517
_cell_angle_alpha 90.00
_cell_angle_beta 90.00
_cell_angle_gamma 90.00
loop_
_atom_site_label
_atom_site_fract_x
_atom_site_fract_y
_atom_site_fract_z
_atom_site_occupancy
Li1 0.0000 0.5000 0.2500 1
Mn1 0.0000 0.0000 0.0000 1
Ni1 0.0000 0.0000 0.4045 1
```


Verdict on stability: 2 comes out at the bottom.